Entry 1:
{
  "formula": "NaYNF2",
  "functional": "PBEsol",
  "state": "optimized geometry",
  "cell": [[4.372, 0.000, 0.000], [0.000, 4.372, 0.000], [0.000, 0.000, 4.365]],
  "species": ["Na", "Y", "N", "F", "F"],
  "frac_coords": [[0.000, 0.000, 0.000], [0.500, 0.500, 0.500], [0.500, 0.500, 0.000], [0.000, 0.500, 0.500], [0.500, 0.000, 0.500]],
  "e_tot_ev_per_atom": -6.22,
  "density_g_cm3": 3.262,
  "formation_energy_uncorrected_mev_per_atom": -2101
}



Entry 2:
{
  "formula": "NaZnNF2",
  "functional": "PBEsol",
  "state": "optimized geometry",
  "cell": [[3.975, 0.000, 0.000], [0.000, 3.975, 0.000], [0.000, 0.000, 4.320]],
  "species": ["Na", "Zn", "N", "F", "F"],
  "frac_coords": [[0.000, 0.000, 0.000], [0.500, 0.500, 0.500], [0.000, 0.000, 0.500], [0.000, 0.500, 0.000], [0.500, 0.000, 0.000]],
  "e_tot_ev_per_atom": -3.19,
  "density_g_cm3": 3.415,
  "formation_energy_uncorrected_mev_per_atom": -114
}



Entry 3:
{
  "formula": "NaZrNF2",
  "functional": "PBEsol",
  "state": "optimized geometry",
  "cell": [[3.624, 0.000, 0.000], [0.000, 3.624, 0.000], [0.000, 0.000, 4.467]],
  "species": ["Na", "Zr", "N", "F", "F"],
  "frac_coords": [[0.000, 0.000, 0.000], [0.500, 0.500, 0.500], [0.000, 0.000, 0.500], [0.000, 0.500, 0.000], [0.500, 0.000, 0.000]],
  "e_tot_ev_per_atom": -5.74,
  "density_g_cm3": 4.706,
  "formation_energy_uncorrected_mev_per_atom": -1162
}



Entry 4:
{
  "formula": "NbNiN2F",
  "functional": "PBEsol",
  "state": "optimized geometry",
  "cell": [[3.719, 0.000, 0.000], [0.000, 3.719, 0.000], [0.000, 0.000, 3.519]],
  "species": ["Nb", "Ni", "N", "N", "F"],
  "frac_coords": [[0.000, 0.000, 0.000], [0.500, 0.500, 0.500], [0.000, 0.500, 0.500], [0.500, 0.000, 0.500], [0.500, 0.500, 0.000]],
  "e_tot_ev_per_atom": -7.08,
  "density_g_cm3": 6.774,
  "formation_energy_uncorrected_mev_per_atom": 107
}



Entry 5:
{
  "formula": "NbNOF2",
  "functional": "PBEsol",
  "state": "optimized geometry",
  "cell": [[4.052, 0.000, 0.000], [0.000, 4.052, 0.000], [0.000, 0.000, 3.932]],
  "species": ["Nb", "N", "O", "F", "F"],
  "frac_coords": [[0.000, 0.000, 0.000], [0.000, 0.000, 0.500], [0.500, 0.500, 0.500], [0.000, 0.500, 0.000], [0.500, 0.000, 0.000]],
  "e_tot_ev_per_atom": -6.53,
  "density_g_cm3": 4.139,
  "formation_energy_uncorrected_mev_per_atom": -839
}



Entry 6:
{
  "formula": "NbPdN2F",
  "functional": "PBEsol",
  "state": "optimized geometry",
  "cell": [[4.056, 0.000, 0.000], [0.000, 4.056, 0.000], [0.000, 0.000, 3.968]],
  "species": ["Nb", "Pd", "N", "N", "F"],
  "frac_coords": [[0.000, 0.000, 0.000], [0.500, 0.500, 0.500], [0.000, 0.500, 0.000], [0.500, 0.000, 0.000], [0.000, 0.000, 0.500]],
  "e_tot_ev_per_atom": -7.29,
  "density_g_cm3": 6.265,
  "formation_energy_uncorrected_mev_per_atom": -138
}



Entry 7:
{
  "formula": "NbSN2F",
  "functional": "PBEsol",
  "state": "optimized geometry",
  "cell": [[3.988, 0.000, 0.000], [0.000, 3.988, 0.000], [0.000, 0.000, 4.921]],
  "species": ["Nb", "S", "N", "N", "F"],
  "frac_coords": [[0.000, 0.000, 0.000], [0.000, 0.000, 0.500], [0.000, 0.500, 0.000], [0.500, 0.000, 0.000], [0.500, 0.500, 0.500]],
  "e_tot_ev_per_atom": -6.39,
  "density_g_cm3": 3.649,
  "formation_energy_uncorrected_mev_per_atom": 449
}



Entry 8:
{
  "formula": "NbSN2F",
  "functional": "PBEsol",
  "state": "optimized geometry",
  "cell": [[4.088, 0.000, 0.000], [0.000, 4.088, 0.000], [0.000, 0.000, 3.978]],
  "species": ["Nb", "S", "N", "N", "F"],
  "frac_coords": [[0.000, 0.000, 0.000], [0.500, 0.500, 0.500], [0.000, 0.500, 0.000], [0.500, 0.000, 0.000], [0.000, 0.000, 0.500]],
  "e_tot_ev_per_atom": -6.77,
  "density_g_cm3": 4.296,
  "formation_energy_uncorrected_mev_per_atom": 68
}



Entry 9:
{
  "formula": "NbSeNF2",
  "functional": "PBEsol",
  "state": "optimized geometry",
  "cell": [[4.305, 0.000, 0.000], [0.000, 4.305, 0.000], [0.000, 0.000, 3.876]],
  "species": ["Nb", "Se", "N", "F", "F"],
  "frac_coords": [[0.000, 0.000, 0.000], [0.500, 0.500, 0.500], [0.500, 0.500, 0.000], [0.000, 0.500, 0.500], [0.500, 0.000, 0.500]],
  "e_tot_ev_per_atom": -4.96,
  "density_g_cm3": 5.176,
  "formation_energy_uncorrected_mev_per_atom": 450
}



Entry 10:
{
  "formula": "NbSeN2F",
  "functional": "PBEsol",
  "state": "optimized geometry",
  "cell": [[4.105, 0.000, 0.000], [0.000, 4.105, 0.000], [0.000, 0.000, 4.003]],
  "species": ["Nb", "Se", "N", "N", "F"],
  "frac_coords": [[0.000, 0.000, 0.000], [0.500, 0.500, 0.500], [0.000, 0.500, 0.000], [0.500, 0.000, 0.000], [0.000, 0.000, 0.500]],
  "e_tot_ev_per_atom": -6.83,
  "density_g_cm3": 5.389,
  "formation_energy_uncorrected_mev_per_atom": -98
}



Entry 11:
{
  "formula": "NbSe2NF",
  "functional": "PBEsol",
  "state": "optimized geometry",
  "cell": [[4.437, 0.000, 0.000], [0.000, 4.437, 0.000], [0.000, 0.000, 3.755]],
  "species": ["Nb", "Se", "Se", "N", "F"],
  "frac_coords": [[0.000, 0.000, 0.000], [0.000, 0.500, 0.500], [0.500, 0.000, 0.500], [0.500, 0.500, 0.000], [0.500, 0.500, 0.500]],
  "e_tot_ev_per_atom": -4.84,
  "density_g_cm3": 6.374,
  "formation_energy_uncorrected_mev_per_atom": 953
}



Entry 12:
{
  "formula": "NbSnNF2",
  "functional": "PBEsol",
  "state": "optimized geometry",
  "cell": [[4.246, 0.000, 0.000], [0.000, 4.246, 0.000], [0.000, 0.000, 4.054]],
  "species": ["Nb", "Sn", "N", "F", "F"],
  "frac_coords": [[0.000, 0.000, 0.000], [0.500, 0.500, 0.500], [0.000, 0.000, 0.500], [0.000, 0.500, 0.000], [0.500, 0.000, 0.000]],
  "e_tot_ev_per_atom": -6.63,
  "density_g_cm3": 5.989,
  "formation_energy_uncorrected_mev_per_atom": -1140
}



Entry 13:
{
  "formula": "NbTlN2F",
  "functional": "PBEsol",
  "state": "optimized geometry",
  "cell": [[4.192, 0.000, 0.000], [0.000, 4.192, 0.000], [0.000, 0.000, 4.179]],
  "species": ["Nb", "Tl", "N", "N", "F"],
  "frac_coords": [[0.000, 0.000, 0.000], [0.500, 0.500, 0.500], [0.000, 0.500, 0.500], [0.500, 0.000, 0.500], [0.500, 0.500, 0.000]],
  "e_tot_ev_per_atom": -5.30,
  "density_g_cm3": 7.786,
  "formation_energy_uncorrected_mev_per_atom": 1191
}



Entry 14:
{
  "formula": "NbWN2F",
  "functional": "PBEsol",
  "state": "optimized geometry",
  "cell": [[4.089, 0.000, 0.000], [0.000, 4.089, 0.000], [0.000, 0.000, 3.892]],
  "species": ["Nb", "W", "N", "N", "F"],
  "frac_coords": [[0.000, 0.000, 0.000], [0.500, 0.500, 0.500], [0.000, 0.500, 0.000], [0.500, 0.000, 0.000], [0.000, 0.000, 0.500]],
  "e_tot_ev_per_atom": -8.32,
  "density_g_cm3": 8.262,
  "formation_energy_uncorrected_mev_per_atom": 406
}